Crystalline TlFeSe4 at its relaxed geometry. Source: Alexandria, functional PBE-GGA.

Structure (POSCAR):
```
TlFeSe4
1.0
0.000 4.118 4.118
4.118 0.000 4.118
4.118 4.118 0.000
Tl Fe Se
1 1 4
Cartesian
0.000 0.000 0.000 Tl
6.176 6.176 6.176 Fe
3.098 3.098 3.098 Se
5.137 5.137 3.098 Se
5.137 3.098 5.137 Se
3.098 5.137 5.137 Se
```

Summary:
Space group: F-43m (216)
Uncorrected formation energy: 0.655 eV per atom
VASP energy: -3.473 eV per atom